1.
PBE Tc2MoOs, optimized geometry; N(E_F) = 3.4 states/eV/f.u.; space group = Pm (6); formation enthalpy at 0 K = 2.1 kcal/mol of atoms; offset from the most stable computed form = 0.026 eV/atom; electronic total energy = -10.607 eV/atom
1.0
-2.2622 1.4741 -0.4074
-3.5352 -3.5453 -1.5381
-2.3050 -1.2686 8.2205
Tc Mo Os
4 2 2
Direct
0.4264 0.6778 0.8441
0.7319 0.1731 0.3256
0.4270 0.6777 0.2976
0.7317 0.1734 0.8162
0.5475 0.9145 0.5709
0.0514 0.4294 0.5708
0.8249 0.9168 0.0708
0.0989 0.3872 0.0710


2.
PBE GeSb2CI, optimized geometry; N(E_F) = 5.7 states/eV/f.u.; space group = P4/mmm (123); energy relative to the elements, uncorrected = 9.5 eV/f.u.; offset from the most stable computed form = 0.777 eV/atom; electronic total energy = -2.830 eV/atom
1.0
-3.8001 3.5379 1.6368
-3.6751 -2.4892 -3.1520
-1.3368 -3.3988 4.2427
I Sb Ge C
1 2 1 1
Direct
0.0000 0.0000 0.5000
0.0000 0.5000 0.0000
0.5000 0.0000 0.0000
0.0000 0.0000 0.0000
0.5000 0.5000 0.5000


3.
PBE Ti3InBi, optimized geometry; N(E_F) = 5.4 states/eV/f.u.; space group = Pnma (62); formation enthalpy at 0 K = 5.0 kcal/mol of atoms; offset from the most stable computed form = 0.115 eV/atom; electronic total energy = -5.845 eV/atom
1.0
5.2249 0.0000 0.0000
0.0000 9.9901 0.0000
0.0000 0.0000 8.1740
Ti In Bi
12 4 4
Direct
0.8515 0.2194 0.0739
0.6485 0.7194 0.5739
0.6485 0.7194 0.9261
0.1485 0.7806 0.5739
0.1485 0.7806 0.9261
0.3515 0.2806 0.4261
0.3515 0.2806 0.0739
0.8515 0.2194 0.4261
0.4069 0.1908 0.7500
0.0931 0.6908 0.2500
0.5931 0.8092 0.2500
0.9069 0.3092 0.7500
0.4459 0.4803 0.7500
0.0541 0.9803 0.2500
0.5541 0.5197 0.2500
0.9459 0.0197 0.7500
0.0000 0.5000 0.0000
0.5000 0.0000 0.5000
0.5000 0.0000 0.0000
0.0000 0.5000 0.5000


4.
PBE MgTeS2Cl, optimized geometry; N(E_F) = 2.3 states/eV/f.u.; space group = P4/mmm (123); energy relative to the elements, uncorrected = -0.8 eV/f.u.; offset from the most stable computed form = 0.000 eV/atom; electronic total energy = -3.123 eV/atom
1.0
-4.3082 -1.4635 1.9734
1.1120 -4.7137 -1.0681
2.0108 -0.4455 4.0596
S Te Mg Cl
2 1 1 1
Direct
0.0000 0.5000 0.0000
0.5000 0.0000 0.0000
0.5000 0.5000 0.5000
0.0000 0.0000 0.0000
0.0000 0.0000 0.5000


5.
PBE TbPm5Nd2Sc, optimized geometry; N(E_F) = 13.0 states/eV/f.u.; space group = Cmcm (63); formation enthalpy at 0 K = 2.7 kcal/mol of atoms; electronic total energy = -4.797 eV/atom
1.0
-3.4545 -0.7312 4.1150
8.5426 -7.1253 2.3328
4.7052 7.3626 5.2582
Tb Pm Nd Sc
2 10 4 2
Direct
0.6024 0.2048 0.0082
0.3976 0.7952 0.5082
0.3727 0.7453 0.0082
0.7224 0.4448 0.8206
0.5000 0.0000 0.7582
0.2776 0.5553 0.6959
0.0006 0.0011 0.5082
0.6273 0.2547 0.5082
0.2776 0.5552 0.3206
0.5000 0.0000 0.2582
0.7224 0.4447 0.1959
0.9994 0.9989 0.0082
0.8836 0.7672 0.7614
0.1164 0.2328 0.7550
0.1164 0.2328 0.2614
0.8836 0.7672 0.2550
0.7869 0.5737 0.5083
0.2131 0.4263 0.0083


6.
PBE CeSiRh3, optimized geometry; N(E_F) = 3.6 states/eV/f.u.; space group = P6_3/mmc (194); energy relative to the elements, uncorrected = -3.6 eV/f.u.; offset from the most stable computed form = 0.000 eV/atom; electronic total energy = -7.400 eV/atom
1.0
-2.0266 4.2122 -3.3245
3.1498 -4.2058 -2.3005
-10.5402 -6.7384 -2.1122
Ce Si Rh
4 4 12
Direct
0.3333 0.6667 0.2500
0.6667 0.3333 0.7500
0.0000 0.0000 0.5000
0.0000 0.0000 0.0000
0.6667 0.3333 0.1298
0.3333 0.6667 0.6298
0.3333 0.6667 0.8702
0.6667 0.3333 0.3702
0.1561 0.3122 0.7500
0.3122 0.1561 0.2500
0.8439 0.1561 0.2500
0.1561 0.8439 0.7500
0.6878 0.8439 0.7500
0.8439 0.6878 0.2500
0.5000 0.5000 0.5000
0.5000 0.0000 0.0000
0.5000 0.5000 0.0000
0.5000 0.0000 0.5000
0.0000 0.5000 0.5000
0.0000 0.5000 0.0000